[1]
PbAuCl4: optimized geometry, GGA-PBE.

Uncorrected formation energy   1.99 eV per formula unit

Unit cell a=5.941 b=5.941 c=5.941 alpha=60.00 beta=60.00 gamma=60.00
Fractional positions:
Pb: 0.000 0.000 0.000
Au: 0.750 0.750 0.750
Cl: 0.376 0.376 0.376
Cl: 0.376 0.376 0.872
Cl: 0.376 0.872 0.376
Cl: 0.872 0.376 0.376

[2]
HfTi2Hg: optimized geometry, GGA-PBE.

Formation enthalpy at 0 K   1.7 eV/f.u.

Unit cell a=7.576 b=7.576 c=5.696 alpha=90.00 beta=90.00 gamma=90.00
Fractional positions:
Hf: 0.000 0.000 0.000
Hf: 0.000 0.500 0.250
Hf: 0.500 0.000 0.750
Hf: 0.500 0.500 0.500
Ti: 0.237 0.250 0.625
Ti: 0.250 0.737 0.875
Ti: 0.250 0.763 0.375
Ti: 0.263 0.250 0.125
Ti: 0.737 0.750 0.125
Ti: 0.750 0.237 0.375
Ti: 0.750 0.263 0.875
Ti: 0.763 0.750 0.625
Hg: 0.000 0.000 0.500
Hg: 0.000 0.500 0.750
Hg: 0.500 0.000 0.250
Hg: 0.500 0.500 0.000

[3]
SrAg2Hg: optimized geometry, GGA-PBE.

Formation enthalpy at 0 K   -0.7 eV/f.u.

Unit cell a=3.986 b=5.021 c=5.531 alpha=90.00 beta=90.20 gamma=90.00
Fractional positions:
Sr: 0.000 0.000 0.000
Ag: 0.499 0.500 0.759
Ag: 0.500 0.000 0.510
Hg: 0.501 0.500 0.259